Entry from Alexandria: ErNiSn3 after structural relaxation (PBE).

Energy relative to the elements (eV per formula unit): -1.4
Magnetic moment (μB/atom): 0.000

Structure (CIF):
```
data_ErNiSn3
_chemical_formula_sum 'Er4 Ni4 Sn12'
_space_group_name_H-M_alt 'A m a 2'
_space_group_IT_number 40
_space_group_name_Hall 'A 2 -2a'
_cell_length_a 4.248
_cell_length_b 17.042
_cell_length_c 6.741
_cell_angle_alpha 90.00
_cell_angle_beta 90.00
_cell_angle_gamma 90.00
loop_
_atom_site_label
_atom_site_fract_x
_atom_site_fract_y
_atom_site_fract_z
Er1 0.250 0.099 0.000
Ni1 0.250 0.460 0.738
Sn1 0.250 0.068 0.514
Sn2 0.250 0.307 0.219
Sn3 0.250 0.309 0.790
```

=====

Entry from Alexandria: Li2Ag3Bi after structural relaxation (PBE).

Energy relative to the elements (eV per formula unit): -1.0
E above lowest polymorph (kJ/mol of atoms): 2.87
Magnetic moment (μB/atom): 0.000

Structure (CIF):
```
data_Li2Ag3Bi
_chemical_formula_sum 'Li4 Ag6 Bi2'
_space_group_name_H-M_alt 'P -1'
_space_group_IT_number 2
_space_group_name_Hall '-P 1'
_cell_length_a 5.068
_cell_length_b 6.874
_cell_length_c 7.440
_cell_angle_alpha 68.11
_cell_angle_beta 89.51
_cell_angle_gamma 76.99
loop_
_atom_site_label
_atom_site_fract_x
_atom_site_fract_y
_atom_site_fract_z
Li1 0.061 0.150 0.294
Li2 0.308 0.835 0.060
Ag1 0.107 0.385 0.886
Ag2 0.225 0.621 0.458
Ag3 0.470 0.378 0.200
Bi1 0.334 0.120 0.660
```

=====

Entry from Alexandria: Pm3Tm2Tl6 after structural relaxation (PBE).

Energy relative to the elements (eV per formula unit): -1.1
Magnetic moment (μB/atom): 0.000

Structure (CIF):
```
data_Pm3Tm2Tl6
_chemical_formula_sum 'Pm6 Tm4 Tl12'
_space_group_name_H-M_alt 'I 4/m m m'
_space_group_IT_number 139
_space_group_name_Hall '-I 4 2'
_cell_length_a 4.814
_cell_length_b 4.814
_cell_length_c 29.031
_cell_angle_alpha 90.00
_cell_angle_beta 90.00
_cell_angle_gamma 90.00
loop_
_atom_site_label
_atom_site_fract_x
_atom_site_fract_y
_atom_site_fract_z
Pm1 0.000 0.000 0.000
Pm2 0.000 0.000 0.198
Tm1 0.000 0.000 0.446
Tl1 0.000 0.000 0.306
Tl2 0.000 0.500 0.116
```

=====

Entry from Alexandria: CsLa after structural relaxation (PBE).

Energy relative to the elements (eV per formula unit): 3.5
Magnetic moment (μB/atom): 0.000

Structure (CIF):
```
data_CsLa
_chemical_formula_sum 'Cs6 La6'
_space_group_name_H-M_alt 'P m -3 n'
_space_group_IT_number 223
_space_group_name_Hall '-P 4n 2 3'
_cell_length_a 9.094
_cell_length_b 9.094
_cell_length_c 9.094
_cell_angle_alpha 90.00
_cell_angle_beta 90.00
_cell_angle_gamma 90.00
loop_
_atom_site_label
_atom_site_fract_x
_atom_site_fract_y
_atom_site_fract_z
Cs1 0.000 0.250 0.500
La1 0.000 0.500 0.250
```

=====

Entry from Alexandria: Pm5Pr2NdTh after structural relaxation (PBE).

Energy relative to the elements (eV per formula unit): 1.4
Magnetic moment (μB/atom): 0.000

Structure (CIF):
```
data_Pm5Pr2NdTh
_chemical_formula_sum 'Pm20 Pr8 Nd4 Th4'
_space_group_name_H-M_alt 'C m c 21'
_space_group_IT_number 36
_space_group_name_Hall 'C 2c -2'
_cell_length_a 5.782
_cell_length_b 20.578
_cell_length_c 10.651
_cell_angle_alpha 90.00
_cell_angle_beta 90.00
_cell_angle_gamma 90.00
loop_
_atom_site_label
_atom_site_fract_x
_atom_site_fract_y
_atom_site_fract_z
Pm1 0.000 0.016 0.000
Pm2 0.000 0.276 0.705
Pm3 0.000 0.296 0.316
Pm4 0.000 0.388 0.997
Pm5 0.000 0.479 0.282
Pr1 0.000 0.116 0.702
Pr2 0.000 0.117 0.293
Nd1 0.000 0.410 0.571
Th1 0.000 0.200 0.009
```

=====

Entry from Alexandria: Sr3Cu2P3 after structural relaxation (PBE).

Energy relative to the elements (eV per formula unit): -5.6
Magnetic moment (μB/atom): 0.000

Structure (CIF):
```
data_Sr3Cu2P3
_chemical_formula_sum 'Sr12 Cu8 P12'
_space_group_name_H-M_alt 'C m c m'
_space_group_IT_number 63
_space_group_name_Hall '-C 2c 2'
_cell_length_a 4.201
_cell_length_b 11.130
_cell_length_c 15.305
_cell_angle_alpha 90.00
_cell_angle_beta 90.00
_cell_angle_gamma 90.00
loop_
_atom_site_label
_atom_site_fract_x
_atom_site_fract_y
_atom_site_fract_z
Sr1 0.000 0.061 0.250
Sr2 0.000 0.354 0.095
Cu1 0.000 0.357 0.616
P1 0.000 0.082 0.057
P2 0.000 0.236 0.750
```